w.
A geometry-optimized PmPrNdY structure, computed with PBE-GGA.

Lattice parameters (Å, degrees): 5.175 5.182 6.327 114.18 114.14 90.00
Fractional positions:
1 Nd 0.445 0.445 0.891
2 Pm 0.946 0.946 0.891
3 Pr 0.196 0.696 0.391
4 Y 0.695 0.195 0.391

Output
* spin magnetization: 0.000 μB per cell
* calculated volume: 34.59 Å³ per atom
* density: 6.2 g/cm³



x.
A geometry-optimized PmPrNdY structure, computed with PBE-GGA.

Lattice parameters (Å, degrees): 5.809 5.809 5.809 60.00 60.00 60.00
Fractional positions:
1 Pm 0.500 0.500 0.500
2 Nd 0.250 0.250 0.250
3 Pr 0.750 0.750 0.750
4 Y 0.000 0.000 0.000

Output
* spin magnetization: 0.000 μB per cell
* calculated volume: 34.65 Å³ per atom
* density: 6.2 g/cm³



Stability, highest: w



w.
A geometry-optimized PmPrNdZn structure, computed with PBE-GGA.

Lattice parameters (Å, degrees): 3.688 3.688 8.871 90.00 90.00 90.00
Fractional positions:
1 Pm 0.500 0.500 0.367
2 Nd 0.500 0.500 0.776
3 Pr 0.000 0.000 0.073
4 Zn 0.000 0.000 0.568

Output
* spin magnetization: 0.000 μB per cell
* calculated volume: 30.17 Å³ per atom
* density: 6.8 g/cm³



x.
A geometry-optimized PmPrNdZn structure, computed with PBE-GGA.

Lattice parameters (Å, degrees): 5.507 5.507 5.507 60.00 60.00 60.00
Fractional positions:
1 Zn 0.250 0.250 0.250
2 Nd 0.000 0.000 0.000
3 Pr 0.500 0.500 0.500
4 Pm 0.750 0.750 0.750

Output
* spin magnetization: 0.000 μB per cell
* calculated volume: 29.53 Å³ per atom
* density: 7.0 g/cm³



Stability, highest: w



w.
A geometry-optimized PmNdPt structure, computed with PBE-GGA.

Lattice parameters (Å, degrees): 5.012 5.012 5.012 60.00 60.00 60.00
Fractional positions:
1 Pm 0.000 0.000 0.000
2 Pt 0.250 0.250 0.250
3 Nd 0.500 0.500 0.500

Output
* spin magnetization: 0.000 μB per cell
* calculated volume: 29.68 Å³ per atom
* density: 9.0 g/cm³



x.
A geometry-optimized PmNdPt structure, computed with PBE-GGA.

Lattice parameters (Å, degrees): 4.305 4.723 4.723 120.00 90.00 90.00
Fractional positions:
1 Pt 0.007 0.000 0.000
2 Pm 0.266 0.333 0.667
3 Nd 0.727 0.667 0.333

Output
* spin magnetization: 0.000 μB per cell
* calculated volume: 27.73 Å³ per atom
* density: 9.7 g/cm³



y.
A geometry-optimized PmNdPt structure, computed with PBE-GGA.

Lattice parameters (Å, degrees): 7.657 7.657 9.687 90.00 90.00 120.00
Fractional positions:
1 Pm 0.594 0.001 0.250
2 Nd 0.737 0.737 0.500
3 Nd 0.737 0.737 0.000
4 Pm 0.999 0.593 0.250
5 Nd 0.000 0.263 0.000
6 Pm 0.406 0.407 0.750
7 Pt 0.667 0.333 0.001
8 Nd 0.000 0.263 0.500
9 Pt 0.333 0.667 0.999
10 Nd 0.263 0.000 0.000
11 Nd 0.263 0.000 0.500
12 Pt 0.000 0.000 0.750
13 Pt 0.000 0.000 0.250
14 Pm 0.593 0.999 0.750
15 Pt 0.667 0.333 0.499
16 Pm 0.407 0.406 0.250
17 Pt 0.333 0.667 0.501
18 Pm 0.001 0.594 0.750

Output
* spin magnetization: 0.000 μB per cell
* calculated volume: 27.32 Å³ per atom
* density: 9.8 g/cm³



z.
A geometry-optimized PmNdPt structure, computed with PBE-GGA.

Lattice parameters (Å, degrees): 3.612 7.310 6.950 104.87 105.06 89.97
Fractional positions:
1 Pt 0.943 0.817 0.654
2 Nd 0.566 0.615 0.901
3 Pm 0.572 0.122 0.911
4 Pt 0.935 0.287 0.635
5 Pm 0.305 0.982 0.378
6 Nd 0.312 0.489 0.387

Output
* spin magnetization: 0.000 μB per cell
* calculated volume: 28.47 Å³ per atom
* density: 9.4 g/cm³



Stability, highest: y



w.
A geometry-optimized Pm2NdPt2 structure, computed with PBE-GGA.

Lattice parameters (Å, degrees): 4.005 7.604 9.186 90.00 102.59 90.00
Fractional positions:
1 Pt 0.196 0.137 0.393
2 Nd 0.626 0.911 0.253
3 Pt 0.804 0.637 0.607
4 Pm 0.969 0.750 0.939
5 Pm 0.188 0.525 0.376
6 Nd 0.374 0.411 0.747
7 Pt 0.553 0.543 0.105
8 Pm 0.031 0.250 0.061
9 Pt 0.447 0.043 0.895
10 Pm 0.812 0.025 0.624

Output
* spin magnetization: 0.000 μB per cell
* calculated volume: 27.30 Å³ per atom
* density: 10.0 g/cm³



x.
A geometry-optimized Pm2NdPt2 structure, computed with PBE-GGA.

Lattice parameters (Å, degrees): 4.030 7.981 7.981 90.00 90.00 90.00
Fractional positions:
1 Pt 0.000 0.633 0.133
2 Nd 0.000 0.500 0.500
3 Pm 0.500 0.837 0.337
4 Pt 0.000 0.133 0.367
5 Nd 0.000 0.000 0.000
6 Pm 0.500 0.663 0.837
7 Pm 0.500 0.337 0.163
8 Pm 0.500 0.163 0.663
9 Pt 0.000 0.367 0.867
10 Pt 0.000 0.867 0.633

Output
* spin magnetization: 0.000 μB per cell
* calculated volume: 25.66 Å³ per atom
* density: 10.7 g/cm³



Stability, highest: x